No. 1
VASP calculation (PBE) on a relaxed Sr6Tl5Au crystal.

Unit cell a=5.686 b=8.195 c=9.051 alpha=90.00 beta=108.29 gamma=90.00
Space group P2/m (No. 10)
Symmetry-distinct sites (fractional):
Sr1 0.000 0.238 0.000 (multiplicity 2)
Sr2 0.340 0.246 0.680 (multiplicity 4)
Tl1 0.168 0.500 0.338 (multiplicity 2)
Tl2 0.177 0.000 0.353 (multiplicity 2)
Tl3 0.500 0.500 0.000 (multiplicity 1)
Au1 0.500 0.000 0.000 (multiplicity 1)

Computed properties:
- energy of formation (eV per atom) = -0.47
- mass density (Mg/m³) = 7.23
- uncorrected energy (eV/cell) = -30.86
- Fermi-level density of states (states/eV per cell) = 7.1

---

No. 2
VASP calculation (PBE) on a relaxed Nb5CrRe4 crystal.

Unit cell a=3.191 b=3.191 c=15.965 alpha=90.00 beta=90.00 gamma=90.00
Space group P4/mmm (No. 123)
Symmetry-distinct sites (fractional):
Nb1 0.000 0.000 0.000 (multiplicity 1)
Nb2 0.000 0.000 0.202 (multiplicity 2)
Nb3 0.000 0.000 0.404 (multiplicity 2)
Cr1 0.500 0.500 0.500 (multiplicity 1)
Re1 0.500 0.500 0.101 (multiplicity 2)
Re2 0.500 0.500 0.303 (multiplicity 2)

Computed properties:
- energy of formation (eV per atom) = -0.22
- mass density (Mg/m³) = 12.88
- uncorrected energy (eV/cell) = -111.95
- Fermi-level density of states (states/eV per cell) = 6.1

---

No. 3
VASP calculation (PBE) on a relaxed TaAlPb crystal.

Unit cell a=3.189 b=3.861 c=9.852 alpha=90.00 beta=90.00 gamma=90.00
Space group Imm2 (No. 44)
Symmetry-distinct sites (fractional):
Ta1 0.000 0.000 0.000 (multiplicity 2)
Al1 0.000 0.000 0.627 (multiplicity 2)
Pb1 0.000 0.000 0.315 (multiplicity 2)

Computed properties:
- energy of formation (eV per atom) = 0.31
- mass density (Mg/m³) = 11.37
- uncorrected energy (eV/cell) = -36.76
- energy above the most stable polymorph in this dataset (eV per atom) = 0.0108
- Fermi-level density of states (states/eV per cell) = 3.8

---

No. 4
VASP calculation (PBE) on a relaxed RbLi2UTe4 crystal.

Unit cell a=7.892 b=7.951 c=9.241 alpha=90.00 beta=90.00 gamma=90.00
Space group I222 (No. 23)
Symmetry-distinct sites (fractional):
Rb1 0.000 0.000 0.000 (multiplicity 2)
Li1 0.000 0.500 0.249 (multiplicity 4)
U1 0.000 0.000 0.500 (multiplicity 2)
Te1 0.212 0.212 0.321 (multiplicity 8)

Computed properties:
- mass density (Mg/m³) = 4.86
- uncorrected energy (eV/cell) = -67.14
- formation energy without anion corrections (eV/f.u.) = -4.9
- Fermi-level density of states (states/eV per cell) = 14.0

---

No. 5
VASP calculation (PBE) on a relaxed CaSiOs2 crystal.

Unit cell a=3.169 b=4.851 c=8.465 alpha=90.00 beta=90.00 gamma=90.00
Space group Cmmm (No. 65)
Symmetry-distinct sites (fractional):
Ca1 0.000 0.000 0.000 (multiplicity 2)
Si1 0.000 0.000 0.500 (multiplicity 2)
Os1 0.000 0.500 0.291 (multiplicity 4)

Computed properties:
- mass density (Mg/m³) = 11.45
- uncorrected energy (eV/cell) = -57.04
- formation energy without anion corrections (eV/f.u.) = 1.4
- Fermi-level density of states (states/eV per cell) = 7.5

---

No. 6
VASP calculation (PBE) on a relaxed HoErCdSn crystal.

Unit cell a=7.432 b=7.432 c=7.432 alpha=90.00 beta=90.00 gamma=90.00
Space group F-43m (No. 216)
Symmetry-distinct sites (fractional):
Ho1 0.000 0.000 0.000 (multiplicity 4)
Er1 0.000 0.000 0.500 (multiplicity 4)
Cd1 0.250 0.250 0.750 (multiplicity 4)
Sn1 0.250 0.250 0.250 (multiplicity 4)

Computed properties:
- energy of formation (eV per atom) = -0.47
- mass density (Mg/m³) = 9.12
- uncorrected energy (eV/cell) = -63.77
- Fermi-level density of states (states/eV per cell) = 13.0